(1)
A relaxed structure of Na4TlCd2Ga, computed with PBE.

Calculated total energy: -13.28 eV for the cell shown
Calculated volume: 196.2 Å³/cell

The structure in CIF format:
```
data_Na4TlCd2Ga
_cell_length_a 5.166
_cell_length_b 5.166
_cell_length_c 7.353
_cell_angle_alpha 90.00
_cell_angle_beta 90.00
_cell_angle_gamma 90.00
_symmetry_space_group_name_H-M 'P -4 m 2'
_symmetry_Int_Tables_number 115
_symmetry_space_group_name_Hall 'P -4 -2'
loop_
_atom_site_label
_atom_site_type_symbol
_atom_site_fract_x
_atom_site_fract_y
_atom_site_fract_z
Na1 Na 0.000 0.000 0.000
Na2 Na 0.000 0.500 0.240
Na3 Na 0.500 0.500 0.500
Tl1 Tl 0.000 0.000 0.500
Cd1 Cd 0.000 0.500 0.766
Ga1 Ga 0.500 0.500 0.000
```

---

(2)
A relaxed structure of Nb2CdGa, computed with PBE.

Calculated total energy: -91.30 eV for the cell shown
Total magnetic moment: 0.0 μB/f.u.
Calculated volume: 293.4 Å³/cell

The structure in CIF format:
```
data_Nb2CdGa
_cell_length_a 6.645
_cell_length_b 6.645
_cell_length_c 6.645
_cell_angle_alpha 90.00
_cell_angle_beta 90.00
_cell_angle_gamma 90.00
_symmetry_space_group_name_H-M 'F -4 3 m'
_symmetry_Int_Tables_number 216
_symmetry_space_group_name_Hall 'F -4 2 3'
loop_
_atom_site_label
_atom_site_type_symbol
_atom_site_fract_x
_atom_site_fract_y
_atom_site_fract_z
Nb1 Nb 0.000 0.000 0.000
Nb2 Nb 0.250 0.250 0.250
Cd1 Cd 0.250 0.250 0.750
Ga1 Ga 0.000 0.000 0.500
```

---

(3)
A relaxed structure of NbCd2Ga, computed with PBE.

Calculated total energy: -54.51 eV for the cell shown
Total magnetic moment: 1.8 μB/f.u.
Calculated volume: 308.2 Å³/cell

The structure in CIF format:
```
data_NbCd2Ga
_cell_length_a 6.755
_cell_length_b 6.755
_cell_length_c 6.755
_cell_angle_alpha 90.00
_cell_angle_beta 90.00
_cell_angle_gamma 90.00
_symmetry_space_group_name_H-M 'F -4 3 m'
_symmetry_Int_Tables_number 216
_symmetry_space_group_name_Hall 'F -4 2 3'
loop_
_atom_site_label
_atom_site_type_symbol
_atom_site_fract_x
_atom_site_fract_y
_atom_site_fract_z
Nb1 Nb 0.000 0.000 0.000
Cd1 Cd 0.000 0.000 0.500
Cd2 Cd 0.250 0.250 0.250
Ga1 Ga 0.250 0.250 0.750
```

---

(4)
A relaxed structure of Nd3Cd3Ga2Pt, computed with PBE.

Calculated total energy: -34.59 eV for the cell shown
Total magnetic moment: 0.0 μB/f.u.
Calculated volume: 213.1 Å³/cell

The structure in CIF format:
```
data_Nd3Cd3Ga2Pt
_cell_length_a 7.5582
_cell_length_b 7.5582
_cell_length_c 4.3077
_cell_angle_alpha 90.00
_cell_angle_beta 90.00
_cell_angle_gamma 120.00
_symmetry_space_group_name_H-M 'P -6 2 m'
_symmetry_Int_Tables_number 189
_symmetry_space_group_name_Hall 'P -6 -2'
loop_
_atom_site_label
_atom_site_type_symbol
_atom_site_fract_x
_atom_site_fract_y
_atom_site_fract_z
Nd1 Nd 0.0000 0.4016 0.0000
Cd1 Cd 0.0000 0.7492 0.5000
Ga1 Ga 0.3333 0.6667 0.5000
Pt1 Pt 0.0000 0.0000 0.0000
```

---

> Among the records above, which one has the highest calculated volume?

NbCd2Ga